# KLi2La | Alexandria via LeMat-Bulk | PBE | optimized geometry
data_KLi2La
_cell_length_a 10.636
_cell_length_b 3.331
_cell_length_c 8.358
_cell_angle_alpha 90.00
_cell_angle_beta 93.28
_cell_angle_gamma 90.00
_space_group_name_H-M_alt 'C 1 2/m 1'
_space_group_IT_number 12
loop_
_space_group_symop_operation_xyz
'x,y,z'
'-x,-y,-z'
'-x,y,-z'
'x,-y,z'
'x+1/2,y+1/2,z'
'-x+1/2,-y+1/2,-z'
'-x+1/2,y+1/2,-z'
'x+1/2,-y+1/2,z'
loop_
_atom_site_label
_atom_site_type_symbol
_atom_site_fract_x
_atom_site_fract_y
_atom_site_fract_z
_atom_site_occupancy
K1 K 0.000 0.000 0.000 1
Li1 Li 0.242 0.000 0.688 1
La1 La 0.000 0.500 0.500 1
# **Total DFT energy (no corrections)**: -17.29 eV per cell
# **Fermi-level density of states**: 7.00 states/eV/cell
# **Spin magnetization**: 0.06 μB per atom